# PBE-GGA PrTm2Zn, optimized geometry
# Polymorph energy (0 for the lowest one) = 0.0 meV/atom
data_PrTm2Zn
_chemical_formula_sum 'Pr1 Tm2 Zn1'
_space_group_name_H-M_alt 'P 4/m m m'
_space_group_IT_number 123
_space_group_name_Hall '-P 4 2'
_cell_length_a 3.548
_cell_length_b 3.548
_cell_length_c 8.740
_cell_angle_alpha 90.00
_cell_angle_beta 90.00
_cell_angle_gamma 90.00
loop_
_atom_site_label
_atom_site_type_symbol
_atom_site_fract_x
_atom_site_fract_y
_atom_site_fract_z
Pr1 Pr 0.000 0.000 0.000
Tm1 Tm 0.500 0.500 0.301
Zn1 Zn 0.000 0.000 0.500

=====

Computed, not measured: a relaxed PrTm5Zn4 crystal at the PBE-GGA level of DFT.

```
data_PrTm5Zn4
_chemical_formula_sum 'Pr1 Tm5 Zn4'
_space_group_name_H-M_alt 'P 4/m m m'
_space_group_IT_number 123
_space_group_name_Hall '-P 4 2'
_cell_length_a 3.533
_cell_length_b 3.533
_cell_length_c 19.338
_cell_angle_alpha 90.00
_cell_angle_beta 90.00
_cell_angle_gamma 90.00
loop_
_atom_site_label
_atom_site_type_symbol
_atom_site_fract_x
_atom_site_fract_y
_atom_site_fract_z
Pr1 Pr 0.000 0.000 0.000
Tm1 Tm 0.500 0.500 0.138
Tm2 Tm 0.500 0.500 0.319
Tm3 Tm 0.500 0.500 0.500
Zn1 Zn 0.000 0.000 0.228
Zn2 Zn 0.000 0.000 0.408
```

=====

# PBE-GGA Pr2TmZn, optimized geometry
# Polymorph energy (0 for the lowest one) = 26.8 meV/atom
data_Pr2TmZn
_chemical_formula_sum 'Pr2 Tm1 Zn1'
_space_group_name_H-M_alt 'P 4/m m m'
_space_group_IT_number 123
_space_group_name_Hall '-P 4 2'
_cell_length_a 3.684
_cell_length_b 3.684
_cell_length_c 8.711
_cell_angle_alpha 90.00
_cell_angle_beta 90.00
_cell_angle_gamma 90.00
loop_
_atom_site_label
_atom_site_type_symbol
_atom_site_fract_x
_atom_site_fract_y
_atom_site_fract_z
Pr1 Pr 0.000 0.000 0.214
Tm1 Tm 0.500 0.500 0.500
Zn1 Zn 0.500 0.500 0.000

=====

Computed, not measured: a relaxed Pr4TmZn2 crystal at the PBE-GGA level of DFT.

```
data_Pr4TmZn2
_chemical_formula_sum 'Pr12 Tm3 Zn6'
_space_group_name_H-M_alt 'R -3 m'
_space_group_IT_number 166
_space_group_name_Hall '-R 3 2"'
_cell_length_a 5.5387
_cell_length_b 5.5387
_cell_length_c 25.4974
_cell_angle_alpha 90.00
_cell_angle_beta 90.00
_cell_angle_gamma 120.00
loop_
_atom_site_label
_atom_site_type_symbol
_atom_site_fract_x
_atom_site_fract_y
_atom_site_fract_z
Pr1 Pr 0.0000 0.0000 0.1258
Pr2 Pr 0.0000 0.0000 0.2735
Tm1 Tm 0.0000 0.0000 0.5000
Zn1 Zn 0.0000 0.0000 0.3912
```

=====

Computed, not measured: a relaxed Pr2TmZn3 crystal at the PBE-GGA level of DFT.

```
data_Pr2TmZn3
_chemical_formula_sum 'Pr2 Tm1 Zn3'
_space_group_name_H-M_alt 'P -3 m 1'
_space_group_IT_number 164
_space_group_name_Hall '-P 3 2"'
_cell_length_a 5.1531
_cell_length_b 5.1531
_cell_length_c 6.3530
_cell_angle_alpha 90.00
_cell_angle_beta 90.00
_cell_angle_gamma 120.00
loop_
_atom_site_label
_atom_site_type_symbol
_atom_site_fract_x
_atom_site_fract_y
_atom_site_fract_z
Pr1 Pr 0.3333 0.6667 0.1791
Tm1 Tm 0.0000 0.0000 0.5000
Zn1 Zn 0.0000 0.0000 0.0000
Zn2 Zn 0.3333 0.6667 0.6640
```

=====

Computed, not measured: a relaxed PrTm3Zn2 crystal at the PBE-GGA level of DFT.

```
data_PrTm3Zn2
_chemical_formula_sum 'Pr1 Tm3 Zn2'
_space_group_name_H-M_alt 'P 4/m m m'
_space_group_IT_number 123
_space_group_name_Hall '-P 4 2'
_cell_length_a 3.538
_cell_length_b 3.538
_cell_length_c 12.249
_cell_angle_alpha 90.00
_cell_angle_beta 90.00
_cell_angle_gamma 90.00
loop_
_atom_site_label
_atom_site_type_symbol
_atom_site_fract_x
_atom_site_fract_y
_atom_site_fract_z
Pr1 Pr 0.000 0.000 0.000
Tm1 Tm 0.500 0.500 0.216
Tm2 Tm 0.500 0.500 0.500
Zn1 Zn 0.000 0.000 0.359
```

=====

Number 1: total magnetic moment 0.000 μB/atom, raw total energy -3.9187 eV/atom, DFT formation energy -170 meV per atom. Number 2: total magnetic moment 0.000 μB/atom, raw total energy -3.5006 eV/atom, DFT formation energy -277 meV per atom. Number 3: total magnetic moment 0.000 μB/atom, raw total energy -3.9524 eV/atom, DFT formation energy -126 meV per atom. Number 4: total magnetic moment 0.000 μB/atom, raw total energy -3.6371 eV/atom, DFT formation energy 97 meV per atom. Number 5: total magnetic moment 0.000 μB/atom, raw total energy -3.2828 eV/atom, DFT formation energy -307 meV per atom. Number 6: total magnetic moment 0.000 μB/atom, raw total energy -3.6907 eV/atom, DFT formation energy -234 meV per atom.